Density functional theory data (meta-GGA SCAN) for CuSe3 at its PBEsol-relaxed geometry.

The calculated volume is 75.7 Å³/cell. The crystal system is tetragonal. The raw formation energy is 0.464 eV/atom.

The space group is P4/mmm (No. 123) and the conventional cell measures 3.0849, 3.0849 and 7.9591 Å, with angles of 90.00, 90.00 and 90.00 degrees. Symmetry generates all atoms from Cu at (0.0000, 0.0000, 0.0000), Se at (0.0000, 0.0000, 0.5000) and Se at (0.5000, 0.5000, 0.1709).

=====

Density functional theory data (meta-GGA SCAN) for CuSe2 at its PBEsol-relaxed geometry.

The calculated volume is 120.3 Å³/cell. The crystal system is hexagonal. The raw formation energy is -0.091 eV/atom.

The space group is P6_3/mmc (No. 194) and the conventional cell measures 3.7853, 3.7853 and 9.6972 Å, with angles of 90.00, 90.00 and 120.00 degrees. Symmetry generates all atoms from Cu at (0.0000, 0.0000, 0.0000) and Se at (0.3333, 0.6667, 0.1274).

=====

Density functional theory data (meta-GGA SCAN) for CuSe at its PBEsol-relaxed geometry.

The calculated volume is 455.7 Å³/cell. The crystal system is orthorhombic. The raw formation energy is -0.153 eV/atom.

The space group is Cmcm (No. 63) and the conventional cell measures 3.8655, 7.0026 and 16.8360 Å, with angles of 90.00, 90.00 and 90.00 degrees. Symmetry generates all atoms from Cu at (0.0000, 0.0550, 0.2500), Cu at (0.0000, 0.1504, 0.6132), Se at (0.0000, 0.2692, 0.7500) and Se at (0.0000, 0.4814, 0.5713).